No. 1
Entry from the Alexandria database: crystalline Cr4CuO12 at its relaxed geometry (PBE with a Hubbard U).

Properties
E_tot, eV/atom: -6.535
Density, g/cm³: 3.07

a = 10.0499 Å, b = 9.1235 Å, c = 5.7896 Å
α = 90.00°, β = 109.35°, γ = 90.00°
Space group C2 (No. 5)
Asymmetric unit:
Cr1 0.2050 0.0000 0.4962 [4 per cell]
Cr2 0.2073 0.1847 0.9865 [4 per cell]
Cu1 0.0000 0.5011 0.0000 [2 per cell]
O1 0.1218 0.6706 0.9445 [4 per cell]
O2 0.1246 0.4990 0.3722 [4 per cell]
O3 0.1352 0.0844 0.7023 [4 per cell]
O4 0.1435 0.3531 0.9546 [4 per cell]
O5 0.1509 0.8341 0.4591 [4 per cell]
O6 0.1535 0.0878 0.2122 [4 per cell]

=====

No. 2
Entry from the Alexandria database: crystalline TmVPb2O6 at its relaxed geometry (PBE with a Hubbard U).

Properties
E_tot, eV/atom: -6.907
Density, g/cm³: 8.91

a = 5.8535 Å, b = 5.7590 Å, c = 9.8401 Å
α = 90.00°, β = 124.89°, γ = 90.00°
Space group P2_1/c (No. 14)
Asymmetric unit:
Tm1 0.0000 0.0000 0.0000 [2 per cell]
V1 0.5000 0.0000 0.5000 [2 per cell]
Pb1 0.2746 0.0029 0.7544 [4 per cell]
O1 0.2062 0.0013 0.2723 [4 per cell]
O2 0.3096 0.7336 0.0420 [4 per cell]
O3 0.3154 0.2397 0.5419 [4 per cell]